i.
KHfSb2, relaxed, DFT PBE; size of the total moment = 0.000 μB/cell
1.0
0.000 3.761 3.761
3.761 0.000 3.761
3.761 3.761 0.000
Sb Hf K
2 1 1
Direct
0.750 0.750 0.750 Sb
0.250 0.250 0.250 Sb
0.500 0.500 0.500 Hf
0.000 0.000 0.000 K

ii.
KHfSb2, relaxed, DFT PBE; size of the total moment = 0.000 μB/cell
1.0
6.709 0.000 0.000
0.000 6.709 0.000
3.354 3.354 8.580
K Sb Hf
2 4 2
Direct
0.500 0.500 0.000 K
0.250 0.750 0.500 K
0.875 0.118 0.750 Sb
0.375 0.132 0.750 Sb
0.882 0.625 0.250 Sb
0.868 0.125 0.250 Sb
0.000 0.000 0.000 Hf
0.750 0.250 0.500 Hf

Of them, ii has the highest stability.